Material: PuBiPb2
Method: DFT, PBE
State: optimized geometry

Cell and atoms, written as extended XYZ:
```
12
Lattice="3.4540 0.0000 0.0000 -1.7270 2.9912 0.0000 0.0000 0.0000 36.1996" Properties=species:S:1:pos:R:3 pbc="T T T"
Pu 0.0000 0.0000 0.0000
Pu 0.0000 1.9942 24.1330
Pu 1.7270 0.9971 12.0665
Bi 0.0000 0.0000 18.0998
Bi 0.0000 1.9942 6.0333
Bi 1.7270 0.9971 30.1663
Pb 0.0000 0.0000 14.8678
Pb 0.0000 0.0000 21.3318
Pb 0.0000 1.9942 2.8013
Pb 0.0000 1.9942 9.2653
Pb 1.7270 0.9971 26.9343
Pb 1.7270 0.9971 33.3983
```

## Properties
Space-group type   No. 166
Fermi-level density of states   25.74 states/eV/cell
Relative energy among the computed polymorphs   238 meV/atom

---

Material: PuBi2Pb
Method: DFT, PBE
State: optimized geometry

Cell and atoms, written as extended XYZ:
```
12
Lattice="4.9515 0.0000 0.0000 -2.4758 4.2882 0.0000 0.0000 0.0000 19.8774" Properties=species:S:1:pos:R:3 pbc="T T T"
Pu 0.0000 0.0000 0.0000
Pu 0.0000 2.8588 13.2516
Pu 2.4758 1.4294 6.6258
Bi 0.0000 0.0000 8.1279
Bi 0.0000 0.0000 11.7226
Bi 0.0000 2.8588 1.5021
Bi 0.0000 2.8588 5.0967
Bi 2.4758 1.4294 14.7537
Bi 2.4758 1.4294 18.3484
Pb 0.0000 0.0000 16.3803
Pb 0.0000 2.8588 9.7545
Pb 2.4758 1.4294 3.1287
```

## Properties
Space-group type   No. 160
Fermi-level density of states   43.78 states/eV/cell
Relative energy among the computed polymorphs   173 meV/atom

---

Material: PuBiPb
Method: DFT, PBE
State: optimized geometry

Cell and atoms, written as extended XYZ:
```
3
Lattice="5.6028 0.0000 0.0000 -2.8014 4.8521 0.0000 0.0000 0.0000 3.3537" Properties=species:S:1:pos:R:3 pbc="T T T"
Pu 0.0000 0.0000 0.0000
Bi 2.8014 1.6174 1.6676
Pb 0.0000 3.2348 1.6859
```

## Properties
Space-group type   No. 156
Fermi-level density of states   11.92 states/eV/cell
Relative energy among the computed polymorphs   149 meV/atom

---

Material: PuBiPb
Method: DFT, PBE
State: optimized geometry

Cell and atoms, written as extended XYZ:
```
12
Lattice="3.3928 0.0000 0.0000 0.0000 3.3928 0.0000 0.0000 0.0000 32.3722" Properties=species:S:1:pos:R:3 pbc="T T T"
Pu 0.0000 0.0000 4.2440
Pu 0.0000 0.0000 28.1282
Pu 1.6964 1.6964 11.9421
Pu 1.6964 1.6964 20.4300
Bi 0.0000 0.0000 14.3243
Bi 0.0000 0.0000 18.0479
Bi 1.6964 1.6964 1.8618
Bi 1.6964 1.6964 30.5104
Pb 0.0000 0.0000 9.4166
Pb 0.0000 0.0000 22.9555
Pb 1.6964 1.6964 6.7694
Pb 1.6964 1.6964 25.6027
```

## Properties
Space-group type   No. 139
Fermi-level density of states   29.47 states/eV/cell
Relative energy among the computed polymorphs   157 meV/atom

---

Material: PuBiPb
Method: DFT, PBE
State: optimized geometry

Cell and atoms, written as extended XYZ:
```
6
Lattice="4.0449 0.0000 0.0000 0.0000 4.0449 0.0000 0.0000 0.0000 10.8690" Properties=species:S:1:pos:R:3 pbc="T T T"
Pu 0.0000 0.0000 0.0000
Pu 2.0224 2.0224 5.4345
Bi 0.0000 0.0000 7.2903
Bi 2.0224 2.0224 1.8558
Pb 0.0000 0.0000 3.4941
Pb 2.0224 2.0224 8.9286
```

## Properties
Space-group type   No. 107
Fermi-level density of states   18.65 states/eV/cell
Relative energy among the computed polymorphs   155 meV/atom

---

Material: Pu2BiPb
Method: DFT, PBE
State: optimized geometry

Cell and atoms, written as extended XYZ:
```
4
Lattice="4.9580 0.0000 0.0000 0.0000 4.9580 0.0000 0.0000 0.0000 4.6014" Properties=species:S:1:pos:R:3 pbc="T T T"
Pu 0.0000 2.4790 0.0000
Pu 2.4790 0.0000 0.0000
Bi 0.0000 0.0000 2.3007
Pb 2.4790 2.4790 2.3007
```

## Properties
Space-group type   No. 123
Fermi-level density of states   13.89 states/eV/cell
Relative energy among the computed polymorphs   0 meV/atom

---

Material: PuBi2Pb
Method: DFT, PBE
State: optimized geometry

Cell and atoms, written as extended XYZ:
```
4
Lattice="5.0242 0.0000 0.0000 0.0000 5.0242 0.0000 0.0000 0.0000 4.7064" Properties=species:S:1:pos:R:3 pbc="T T T"
Pu 0.0000 0.0000 0.0000
Bi 0.0000 2.5121 2.3532
Bi 2.5121 0.0000 2.3532
Pb 2.5121 2.5121 0.0000
```

## Properties
Space-group type   No. 123
Fermi-level density of states   12.01 states/eV/cell
Relative energy among the computed polymorphs   0 meV/atom

---

Material: PuBiPb2
Method: DFT, PBE
State: optimized geometry

Cell and atoms, written as extended XYZ:
```
4
Lattice="4.8154 0.0000 0.0000 0.0000 4.8154 0.0000 0.0000 0.0000 5.0478" Properties=species:S:1:pos:R:3 pbc="T T T"
Pu 0.0000 0.0000 0.0000
Bi 2.4077 2.4077 0.0000
Pb 0.0000 2.4077 2.5239
Pb 2.4077 0.0000 2.5239
```

## Properties
Space-group type   No. 123
Fermi-level density of states   11.63 states/eV/cell
Relative energy among the computed polymorphs   0 meV/atom

---

Material: PuBi2Pb
Method: DFT, PBE
State: optimized geometry

Cell and atoms, written as extended XYZ:
```
4
Lattice="4.2481 0.0000 0.0000 0.0000 4.2481 0.0000 0.0000 0.0000 6.7454" Properties=species:S:1:pos:R:3 pbc="T T T"
Pu 0.0000 0.0000 0.0000
Bi 2.1241 2.1241 1.6072
Bi 2.1241 2.1241 5.1381
Pb 0.0000 0.0000 3.3727
```

## Properties
Space-group type   No. 123
Fermi-level density of states   10.56 states/eV/cell
Relative energy among the computed polymorphs   34 meV/atom

---

Material: Pu2BiPb
Method: DFT, PBE
State: optimized geometry

Cell and atoms, written as extended XYZ:
```
16
Lattice="7.7215 0.0000 0.0000 0.0000 7.7215 0.0000 0.0000 0.0000 7.7215" Properties=species:S:1:pos:R:3 pbc="T T T"
Pu 1.9304 1.9304 1.9304
Pu 1.9304 1.9304 5.7911
Pu 1.9304 5.7911 1.9304
Pu 1.9304 5.7911 5.7911
Pu 5.7911 1.9304 1.9304
Pu 5.7911 1.9304 5.7911
Pu 5.7911 5.7911 1.9304
Pu 5.7911 5.7911 5.7911
Bi 0.0000 0.0000 0.0000
Bi 0.0000 3.8607 3.8607
Bi 3.8607 0.0000 3.8607
Bi 3.8607 3.8607 0.0000
Pb 0.0000 0.0000 3.8607
Pb 0.0000 3.8607 0.0000
Pb 3.8607 0.0000 0.0000
Pb 3.8607 3.8607 3.8607
```

## Properties
Space-group type   No. 225
Fermi-level density of states   79.51 states/eV/cell
Relative energy among the computed polymorphs   93 meV/atom

---

Material: Pu2BiPb
Method: DFT, PBE
State: optimized geometry

Cell and atoms, written as extended XYZ:
```
4
Lattice="3.5046 0.0000 0.0000 0.0000 3.5046 0.0000 0.0000 0.0000 9.2046" Properties=species:S:1:pos:R:3 pbc="T T T"
Pu 0.0000 0.0000 2.2856
Pu 0.0000 0.0000 6.9190
Bi 1.7523 1.7523 0.0000
Pb 1.7523 1.7523 4.6023
```

## Properties
Space-group type   No. 123
Fermi-level density of states   13.69 states/eV/cell
Relative energy among the computed polymorphs   7 meV/atom

---

Material: PuBi3Pb
Method: DFT, PBE
State: optimized geometry

Cell and atoms, written as extended XYZ:
```
10
Lattice="5.2394 -5.3144 0.0000 5.2394 5.3144 0.0000 0.0000 0.0000 6.3409" Properties=species:S:1:pos:R:3 pbc="T T T"
Pu 5.2394 2.7678 4.7556
Pu 5.2394 -2.7678 1.5852
Bi 3.2378 2.2337 1.5852
Bi 7.2411 2.2337 1.5852
Bi 5.2394 0.0000 0.0000
Bi 5.2394 0.0000 3.1704
Bi 3.2378 -2.2337 4.7556
Bi 7.2411 -2.2337 4.7556
Pb 5.2394 4.6224 1.5852
Pb 5.2394 -4.6224 4.7556
```

## Properties
Space-group type   No. 63
Fermi-level density of states   27.77 states/eV/cell
Calculated total energy   -59.14 eV per cell

---

Material: Pu3Bi4Pb
Method: DFT, PBE
State: optimized geometry

Cell and atoms, written as extended XYZ:
```
8
Lattice="3.3874 0.0000 0.0000 0.0000 5.9052 0.0000 0.0000 0.0000 12.0750" Properties=species:S:1:pos:R:3 pbc="T T T"
Pu 0.0000 0.0000 0.0000
Pu 0.0000 2.9526 3.0858
Pu 0.0000 2.9526 8.9892
Bi 1.6937 0.0000 2.9367
Bi 1.6937 0.0000 9.1384
Bi 1.6937 2.9526 0.0000
Bi 1.6937 2.9526 6.0375
Pb 0.0000 0.0000 6.0375
```

## Properties
Space-group type   No. 47
Fermi-level density of states   36.16 states/eV/cell
Calculated total energy   -64.02 eV per cell

---

| no. | spin magnetization (μB/cell) |
| --- | --- |
| 1 | 18.8 |
| 2 | 16.2 |
| 3 | 6.1 |
| 4 | 23.5 |
| 5 | 12.4 |
| 6 | 11.9 |
| 7 | 5.4 |
| 8 | 5.6 |
| 9 | 5.7 |
| 10 | 48.2 |
| 11 | 11.9 |
| 12 | 11.3 |
| 13 | 5.6 |